Below is an optimized crystal structure of Pm5Pr4Ag, with properties calculated at the PBE-GGA level.

Cell lengths 3.6904, 3.6904, 24.6153 Å; angles 90.00, 90.00, 90.00 degrees
With the nearest neighbours (Å) after each atom.
Fractional coordinates of all 10 atoms:
Pm 0.5000 0.5000 0.0776  4 Ag 3.23
Pm 0.5000 0.5000 0.2881  8 Pr 3.67-3.69, 4 Pm 3.69
Pm 0.5000 0.5000 0.5000  8 Pr 3.68, 4 Pm 3.69
Pm 0.5000 0.5000 0.7119  8 Pr 3.67-3.69, 4 Pm 3.69
Pm 0.5000 0.5000 0.9224  4 Ag 3.23
Pr 0.0000 0.0000 0.1834  8 Pm 3.67-3.69, 4 Pr 3.69
Pr 0.0000 0.0000 0.3943  8 Pm 3.68-3.69, 4 Pr 3.69
Pr 0.0000 0.0000 0.6057  8 Pm 3.68-3.69, 4 Pr 3.69
Pr 0.0000 0.0000 0.8166  8 Pm 3.67-3.69, 4 Pr 3.69
Ag 0.0000 0.0000 0.0000  8 Pm 3.23

Calculated values
- Energy relative to the elements: -0.039 eV/atom

Below is an optimized crystal structure of Rb2Th2BiTe6, with properties calculated at the PBE-GGA level.

Cell lengths 7.7949, 7.7949, 9.2153 Å; angles 97.43, 97.43, 118.49 degrees
With the nearest neighbours (Å) after each atom.
Fractional coordinates of all 11 atoms:
Rb 0.8278 0.1722 0.0000  6 Te 3.69-3.75
Rb 0.1722 0.8278 0.0000  6 Te 3.69-3.75
Th 0.3476 0.6524 0.5000  6 Te 3.16-3.22
Th 0.6524 0.3476 0.5000  6 Te 3.16-3.22
Bi 0.0000 0.0000 0.5000  6 Te 3.17-3.20
Te 0.7442 0.7442 0.7172  2 Th 3.16, 1 Bi 3.20
Te 0.0550 0.3972 0.6935  2 Th 3.16-3.22, 1 Bi 3.17
Te 0.2558 0.2558 0.2828  2 Th 3.16, 1 Bi 3.20
Te 0.3972 0.0550 0.6935  2 Th 3.16-3.22, 1 Bi 3.17
Te 0.9450 0.6028 0.3065  2 Th 3.16-3.22, 1 Bi 3.17
Te 0.6028 0.9450 0.3065  2 Th 3.16-3.22, 1 Bi 3.17

Calculated values
- Formation energy (no corrections): -0.9693 eV/atom

Below is an optimized crystal structure of ReRu2W, with properties calculated at the PBE-GGA level.

Cell lengths 3.9137, 3.9141, 3.8455 Å; angles 90.00, 90.00, 90.00 degrees
With the nearest neighbours (Å) after each atom.
Fractional coordinates of all 4 atoms:
Re 0.0000 0.5000 0.5000  8 Ru 2.74, 4 W 2.77
W 0.5000 0.0000 0.5000  8 Ru 2.74, 4 Re 2.77
Ru 0.0000 0.0000 0.0000  4 W 2.74, 4 Re 2.74, 4 Ru 2.77
Ru 0.5000 0.5000 0.0000  4 Re 2.74, 4 W 2.74, 4 Ru 2.77

Calculated values
- Energy relative to the elements: 0.013 eV/atom
- E above lowest polymorph: 0.00 eV/f.u.

Below is an optimized crystal structure of LaS2IN, with properties calculated at the PBE-GGA level.

Cell lengths 5.2293, 5.2293, 4.0703 Å; angles 90.00, 90.00, 90.00 degrees
With the nearest neighbours (Å) after each atom.
Fractional coordinates of all 5 atoms:
I 0.0000 0.0000 0.0000  2 N 2.04
S 0.0000 0.5000 0.0000  2 I 2.61
S 0.5000 0.0000 0.0000  2 I 2.61
N 0.0000 0.0000 0.5000  2 I 2.04
La 0.5000 0.5000 0.5000  8 S 3.31, 4 N 3.70

Calculated values
- Formation energy (no corrections): 0.1555 eV/atom
- E above lowest polymorph: 0.00 eV/f.u.

Below is an optimized crystal structure of RbPaCoS3, with properties calculated at the PBE-GGA level.

Cell lengths 3.8383, 7.7945, 10.1112 Å; angles 90.00, 90.00, 104.25 degrees
With the nearest neighbours (Å) after each atom.
Fractional coordinates of all 12 atoms:
Rb 0.7403 0.4807 0.7500  8 S 3.35-3.72
Rb 0.2597 0.5193 0.2500  8 S 3.35-3.72
Pa 0.0000 0.0000 0.5000  6 S 2.68-2.70
Pa 0.0000 0.0000 0.0000  6 S 2.68-2.70
Co 0.4713 0.9425 0.7500  4 S 2.27-2.33
Co 0.5287 0.0575 0.2500  4 S 2.27-2.33
S 0.6176 0.2352 0.4316  1 Co 2.27
S 0.3824 0.7648 0.5684  1 Co 2.27
S 0.3824 0.7648 0.9316  1 Co 2.27
S 0.6176 0.2352 0.0684  1 Co 2.27
S 0.0586 0.1172 0.7500  2 Co 2.33
S 0.9414 0.8828 0.2500  2 Co 2.33

Calculated values
- Formation energy (no corrections): -1.3130 eV/atom

Below is an optimized crystal structure of BaMg2In4, with properties calculated at the PBE-GGA level.

Cell lengths 4.7826, 4.7010, 9.9582 Å; angles 103.65, 103.89, 90.00 degrees
With the nearest neighbours (Å) after each atom.
Fractional coordinates of all 7 atoms:
Ba 0.5000 0.0000 0.0000  12 In 3.66-3.95
Mg 0.8222 0.8222 0.6443  3 In 2.87-3.01
Mg 0.1778 0.1778 0.3557  3 In 2.87-3.01
In 0.6690 0.6690 0.3379  1 Mg 2.87, 2 In 2.94
In 0.3310 0.3310 0.6621  1 Mg 2.87, 2 In 2.94
In 0.0778 0.5778 0.1556  3 In 2.92-2.94, 2 Mg 3.01
In 0.9222 0.4222 0.8444  3 In 2.92-2.94, 2 Mg 3.01

Calculated values
- Energy relative to the elements: -0.171 eV/atom

Below is an optimized crystal structure of Cd7In4Sn, with properties calculated at the PBE-GGA level.

Cell lengths 3.2882, 3.2882, 31.6034 Å; angles 90.00, 90.00, 120.00 degrees
With the nearest neighbours (Å) after each atom.
Fractional coordinates of all 12 atoms:
Cd 0.0000 0.0000 0.0000  6 In 3.27, 6 Cd 3.29
Cd 0.3333 0.6667 0.4134  3 In 3.26, 6 Cd 3.29, 3 Sn 3.33
Cd 0.6667 0.3333 0.5866  3 In 3.26, 6 Cd 3.29, 3 Sn 3.33
Cd 0.3333 0.6667 0.1676  9 Cd 3.13-3.29, 3 In 3.25
Cd 0.6667 0.3333 0.8324  9 Cd 3.13-3.29, 3 In 3.25
Cd 0.0000 0.0000 0.7537  9 Cd 3.13-3.29, 3 In 3.24
Cd 0.0000 0.0000 0.2463  9 Cd 3.13-3.29, 3 In 3.24
In 0.3333 0.6667 0.9158  6 Cd 3.25-3.27, 6 In 3.29
In 0.6667 0.3333 0.0842  6 Cd 3.25-3.27, 6 In 3.29
In 0.3333 0.6667 0.6705  6 Cd 3.24-3.26, 6 In 3.29
In 0.6667 0.3333 0.3295  6 Cd 3.24-3.26, 6 In 3.29
Sn 0.0000 0.0000 0.5000  6 Sn 3.29, 6 Cd 3.33

Calculated values
- Energy relative to the elements: 0.039 eV/atom

Below is an optimized crystal structure of Pr6Ge2HI3, with properties calculated at the PBE-GGA level.

Cell lengths 7.3523, 7.3523, 8.1519 Å; angles 98.92, 98.92, 119.90 degrees
With the nearest neighbours (Å) after each atom.
Fractional coordinates of all 12 atoms:
Pr 0.9359 0.6185 0.8067  1 H 2.77, 2 Ge 2.93-2.94
Pr 0.7370 0.7370 0.2085  2 Ge 2.92, 1 H 2.95
Pr 0.0641 0.3815 0.1933  1 H 2.77, 2 Ge 2.93-2.94
Pr 0.6185 0.9359 0.8067  1 H 2.77, 2 Ge 2.93-2.94
Pr 0.2630 0.2630 0.7915  2 Ge 2.92, 1 H 2.95
Pr 0.3815 0.0641 0.1933  1 H 2.77, 2 Ge 2.93-2.94
Ge 0.3341 0.6659 0.0000  6 Pr 2.92-2.94
Ge 0.6659 0.3341 0.0000  6 Pr 2.92-2.94
H 0.0000 0.0000 0.0000  6 Pr 2.77-2.95
I 0.1787 0.8213 0.5000  6 Pr 3.40-3.42
I 0.8213 0.1787 0.5000  6 Pr 3.40-3.42
I 0.5000 0.5000 0.5000  6 Pr 3.36-3.37

no.,final energy (eV/atom)
1,-4.611
2,-4.561
3,-10.976
4,-4.456
5,-6.305
6,-2.466
7,-1.742
8,-4.654